Record 1
A plane-wave DFT calculation with meta-GGA SCAN was carried out for CsInCuP6O18 at its PBEsol-relaxed geometry.

a = 5.1428 Å, b = 8.9440 Å, c = 9.3595 Å
α = 85.93°, β = 74.16°, γ = 73.70°
Last column: nearest neighbours and their distance in Å.
Fractional coordinates of all 27 atoms:
1 Cs 0.0000 0.0000 0.0000  3 O 2.94-3.29
2 In 0.5016 0.0238 0.5190  6 O 2.13-2.15
3 Cu 0.5018 0.5227 0.0180  4 O 1.93-1.99
4 P 0.0636 0.5625 0.8199  4 O 1.50-1.61
5 P 0.0991 0.7823 0.5648  4 O 1.50-1.59
6 P 0.5011 0.7845 0.2670  4 O 1.48-1.61
7 P 0.5023 0.2632 0.7709  4 O 1.48-1.61
8 P 0.9036 0.2637 0.4731  4 O 1.50-1.59
9 P 0.9392 0.4839 0.2166  4 O 1.50-1.61
10 O 0.1764 0.6289 0.6572  2 P 1.58-1.61
11 O 0.1774 0.9128 0.6225  1 P 1.51
12 O 0.1871 0.6195 0.9267  1 P 1.50
13 O 0.1972 0.3809 0.7837  2 P 1.60
14 O 0.2001 0.2327 0.4840  1 P 1.50
15 O 0.2519 0.4509 0.1850  1 P 1.50
16 O 0.3073 0.7188 0.4084  2 P 1.59-1.61
17 O 0.4073 0.7767 0.1322  1 P 1.48
18 O 0.4770 0.1066 0.7330  1 P 1.52
19 O 0.5279 0.9400 0.3062  1 P 1.51
20 O 0.6016 0.2724 0.9035  1 P 1.48
21 O 0.6898 0.3299 0.6276  2 P 1.59-1.61
22 O 0.7506 0.5972 0.8516  1 P 1.50
23 O 0.8006 0.8149 0.5571  1 P 1.50
24 O 0.8041 0.6653 0.2561  2 P 1.60
25 O 0.8161 0.4295 0.1086  1 P 1.50
26 O 0.8280 0.4150 0.3782  2 P 1.58-1.61
27 O 0.8293 0.1310 0.4174  1 P 1.51

Results
magnetization: 1.00 μB per cell
raw formation energy: -2271 meV/atom


Record 2
A plane-wave DFT calculation with meta-GGA SCAN was carried out for LiLaCo4 at its PBEsol-relaxed geometry.

a = 4.9032 Å, b = 4.9032 Å, c = 4.9032 Å
α = 60.00°, β = 60.00°, γ = 60.00°
Last column: nearest neighbours and their distance in Å.
Fractional coordinates of all 6 atoms:
1 Li 0.0000 0.0000 0.0000  12 Co 2.87, 4 La 3.00
2 La 0.2500 0.2500 0.2500  12 Co 2.88, 4 Li 3.00
3 Co 0.1227 0.6258 0.6258  6 Co 2.44-2.47
4 Co 0.6258 0.1227 0.6258  6 Co 2.44-2.47
5 Co 0.6258 0.6258 0.1227  6 Co 2.44-2.47
6 Co 0.6258 0.6258 0.6258  6 Co 2.44-2.47

Results
magnetization: 5.55 μB per cell
final energy: -113.77 eV/f.u.